Record 1
Computed, not measured: crystalline ScCoNiRu at its relaxed geometry at the GGA-PBE level of DFT.

Computed properties:
symmetry	F-43m
DFT formation energy	-0.097	eV/atom

Cell and atoms, written as CIF:
```
data_ScCoNiRu
_chemical_formula_sum 'Sc1 Co1 Ni1 Ru1'
_space_group_name_H-M_alt 'P 1'
_space_group_IT_number 1
_space_group_name_Hall 'P 1'
_cell_length_a 4.290
_cell_length_b 4.290
_cell_length_c 4.290
_cell_angle_alpha 60.00
_cell_angle_beta 60.00
_cell_angle_gamma 60.00
loop_
_atom_site_label
_atom_site_type_symbol
_atom_site_fract_x
_atom_site_fract_y
_atom_site_fract_z
Sc1 Sc 0.000 0.000 0.000
Co1 Co 0.750 0.750 0.750
Ni1 Ni 0.250 0.250 0.250
Ru1 Ru 0.500 0.500 0.500
```

Record 2
Computed, not measured: crystalline CoSiNiRu2 at its relaxed geometry at the GGA-PBE level of DFT.

Computed properties:
symmetry	P4/mmm
energy relative to the elements, uncorrected	1272.6	meV/atom

Cell and atoms, written as CIF:
```
data_CoSiNiRu2
_chemical_formula_sum 'Co1 Si1 Ni1 Ru2'
_space_group_name_H-M_alt 'P 1'
_space_group_IT_number 1
_space_group_name_Hall 'P 1'
_cell_length_a 4.337
_cell_length_b 4.337
_cell_length_c 4.252
_cell_angle_alpha 90.00
_cell_angle_beta 90.00
_cell_angle_gamma 90.00
loop_
_atom_site_label
_atom_site_type_symbol
_atom_site_fract_x
_atom_site_fract_y
_atom_site_fract_z
Co1 Co 0.000 0.000 0.000
Si1 Si 0.500 0.500 0.500
Ni1 Ni 0.000 0.000 0.500
Ru1 Ru 0.000 0.500 0.000
Ru2 Ru 0.500 0.000 0.000
```

Record 3
Computed, not measured: crystalline TaCoNiRu at its relaxed geometry at the GGA-PBE level of DFT.

Computed properties:
symmetry	Pmmm
DFT formation energy	-0.267	eV/atom
distance to the lowest polymorph of the same formula	0.000	eV per atom

Cell and atoms, written as CIF:
```
data_TaCoNiRu
_chemical_formula_sum 'Ta1 Co1 Ni1 Ru1'
_space_group_name_H-M_alt 'P 1'
_space_group_IT_number 1
_space_group_name_Hall 'P 1'
_cell_length_a 3.718
_cell_length_b 3.765
_cell_length_c 3.774
_cell_angle_alpha 90.00
_cell_angle_beta 90.00
_cell_angle_gamma 90.00
loop_
_atom_site_label
_atom_site_type_symbol
_atom_site_fract_x
_atom_site_fract_y
_atom_site_fract_z
Ta1 Ta 0.000 0.000 0.000
Co1 Co 0.500 0.000 0.500
Ni1 Ni 0.000 0.500 0.500
Ru1 Ru 0.500 0.500 0.000
```

Record 4
Computed, not measured: crystalline TaCoNiRu at its relaxed geometry at the GGA-PBE level of DFT.

Computed properties:
symmetry	F-43m
DFT formation energy	-0.058	eV/atom
distance to the lowest polymorph of the same formula	0.209	eV per atom

Cell and atoms, written as CIF:
```
data_TaCoNiRu
_chemical_formula_sum 'Ta1 Co1 Ni1 Ru1'
_space_group_name_H-M_alt 'P 1'
_space_group_IT_number 1
_space_group_name_Hall 'P 1'
_cell_length_a 4.249
_cell_length_b 4.249
_cell_length_c 4.249
_cell_angle_alpha 60.00
_cell_angle_beta 60.00
_cell_angle_gamma 60.00
loop_
_atom_site_label
_atom_site_type_symbol
_atom_site_fract_x
_atom_site_fract_y
_atom_site_fract_z
Ta1 Ta 0.000 0.000 0.000
Co1 Co 0.250 0.250 0.250
Ni1 Ni 0.500 0.500 0.500
Ru1 Ru 0.750 0.750 0.750
```